Version A
Below is a PBEsol-optimized structure of SrYSe2, with properties calculated at the SCAN level.

**Crystal system**: tetragonal
**Space-group type**: I-42d, No. 122

Unit cell a=6.6371 b=6.6371 c=7.9791 alpha=114.58 beta=114.58 gamma=90.00
Each line ends with the local moment (μB).
Sites, in units of the cell vectors:
Se1 0.3449 0.8750 0.2500  0.01
Y1 0.0000 0.0000 0.0000  -0.25
Se2 0.6250 0.6551 0.7500  0.01
Se3 0.1250 0.0949 0.7500  0.01
Y2 0.2500 0.7500 0.5000  -0.25
Sr1 0.7500 0.2500 0.5000  -0.06
Sr2 0.5000 0.5000 0.0000  -0.06
Se4 0.9051 0.3750 0.2500  0.01

Version B
Below is a PBEsol-optimized structure of SrYSe2, with properties calculated at the SCAN level.

**Crystal system**: tetragonal
**Space-group type**: P4/mmm, No. 123

Unit cell a=4.1815 b=4.1815 c=5.8966 alpha=90.00 beta=90.00 gamma=90.00
Sites, in units of the cell vectors:
Y1 0.5000 0.5000 0.5000
Se1 0.0000 0.0000 0.5000
Se2 0.5000 0.5000 0.0000
Sr1 0.0000 0.0000 0.0000

Stability check: which of them is most stable? version B.

Version A
Below is a PBEsol-optimized structure of SrZnSe, with properties calculated at the SCAN level.

**Crystal system**: cubic
**Space-group type**: F-43m, No. 216

Unit cell a=5.1048 b=5.1048 c=5.1048 alpha=60.00 beta=60.00 gamma=60.00
Sites, in units of the cell vectors:
Zn1 0.5000 0.5000 0.5000
Se1 0.2500 0.2500 0.2500
Sr1 0.0000 0.0000 0.0000

Version B
Below is a PBEsol-optimized structure of SrZnSe, with properties calculated at the SCAN level.

**Crystal system**: cubic
**Space-group type**: F-43m, No. 216

Unit cell a=5.0317 b=5.0317 c=5.0317 alpha=60.00 beta=60.00 gamma=60.00
Sites, in units of the cell vectors:
Sr1 0.2500 0.2500 0.2500
Zn1 0.0000 0.0000 0.0000
Se1 0.5000 0.5000 0.5000

Stability check: which of them is most stable? version B.

Version A
Below is a PBEsol-optimized structure of Ta3Se, with properties calculated at the SCAN level.

**Crystal system**: cubic
**Space-group type**: Fm-3m, No. 225

Unit cell a=4.6073 b=4.6073 c=4.6073 alpha=60.00 beta=60.00 gamma=60.00
Sites, in units of the cell vectors:
Ta1 0.5000 0.5000 0.5000
Se1 0.0000 0.0000 0.0000
Ta2 0.2500 0.2500 0.2500
Ta3 0.7500 0.7500 0.7500

Version B
Below is a PBEsol-optimized structure of Ta3Se, with properties calculated at the SCAN level.

**Crystal system**: orthorhombic
**Space-group type**: Cmmm, No. 65

Unit cell a=3.2405 b=4.6680 c=4.6680 alpha=104.10 beta=90.00 gamma=90.00
Sites, in units of the cell vectors:
Ta1 0.5000 0.5000 0.0000
Ta2 0.5000 0.0000 0.5000
Ta3 0.0000 0.5000 0.5000
Se1 0.0000 0.0000 0.0000

Stability check: which of them is most stable? version B.

Version A
Below is a PBEsol-optimized structure of TaTcSe2, with properties calculated at the SCAN level.

**Crystal system**: monoclinic
**Space-group type**: Cm, No. 8

Unit cell a=3.2639 b=4.7247 c=5.7928 alpha=98.70 beta=90.00 gamma=110.21
Sites, in units of the cell vectors:
Se1 0.0057 0.0114 0.0976
Se2 0.2355 0.4710 0.6395
Tc1 0.7690 0.5380 0.3218
Ta1 0.4898 0.9797 0.4411

Version B
Below is a PBEsol-optimized structure of TaTcSe2, with properties calculated at the SCAN level.

**Crystal system**: trigonal
**Space-group type**: R-3m, No. 166

Unit cell a=3.0658 b=3.0658 c=8.0727 alpha=79.05 beta=79.05 gamma=60.00
Sites, in units of the cell vectors:
Ta1 0.5000 0.5000 0.5000
Se1 0.2528 0.2528 0.2415
Se2 0.7472 0.7472 0.7585
Tc1 0.0000 0.0000 0.0000

Stability check: which of them is most stable? version A.

Version A
Below is a PBEsol-optimized structure of TaTcSe2, with properties calculated at the SCAN level.

**Crystal system**: monoclinic
**Space-group type**: C2/m, No. 12

Unit cell a=3.4714 b=4.5832 c=5.0602 alpha=114.18 beta=106.61 gamma=97.26
Sites, in units of the cell vectors:
Tc1 0.5000 0.0000 0.0000
Se1 0.5000 0.5000 0.5000
Se2 0.0000 0.0000 0.5000
Ta1 0.0000 0.5000 0.0000

Version B
Below is a PBEsol-optimized structure of TaTcSe2, with properties calculated at the SCAN level.

**Crystal system**: orthorhombic
**Space-group type**: Pmm2, No. 25

Unit cell a=3.3321 b=4.2380 c=5.8657 alpha=90.00 beta=90.00 gamma=90.00
Sites, in units of the cell vectors:
Ta1 0.0000 0.0000 0.4037
Se1 0.5000 0.0000 0.0785
Se2 0.0000 0.5000 0.6659
Tc1 0.5000 0.5000 0.3520

Stability check: which of them is most stable? version B.

Version A
Below is a PBEsol-optimized structure of TaTcSe2, with properties calculated at the SCAN level.

**Crystal system**: orthorhombic
**Space-group type**: Imm2, No. 44

Unit cell a=3.1306 b=4.3284 c=5.4609 alpha=113.35 beta=106.66 gamma=90.00
Sites, in units of the cell vectors:
Se1 0.7571 0.2571 0.5142
Tc1 0.2702 0.7702 0.5403
Se2 0.9761 0.9761 0.9522
Ta1 0.4966 0.4966 0.9933

Version B
Below is a PBEsol-optimized structure of TaTcSe2, with properties calculated at the SCAN level.

**Crystal system**: trigonal
**Space-group type**: R-3m, No. 166

Unit cell a=3.1045 b=3.1045 c=8.6580 alpha=79.67 beta=79.67 gamma=60.00
Sites, in units of the cell vectors:
Tc1 0.0000 0.0000 0.0000
Se1 0.9066 0.9066 0.2803
Se2 0.0934 0.0934 0.7197
Ta1 0.5000 0.5000 0.5000

Stability check: which of them is most stable? version A.

Version A
Below is a PBEsol-optimized structure of Ta2TlSe, with properties calculated at the SCAN level.

**Crystal system**: cubic
**Space-group type**: F-43m, No. 216

Unit cell a=4.7663 b=4.7663 c=4.7663 alpha=60.00 beta=60.00 gamma=60.00
Sites, in units of the cell vectors:
Ta1 0.2500 0.2500 0.2500
Se1 0.5000 0.5000 0.5000
Ta2 0.0000 0.0000 0.0000
Tl1 0.7500 0.7500 0.7500

Version B
Below is a PBEsol-optimized structure of Ta2TlSe, with properties calculated at the SCAN level.

**Crystal system**: trigonal
**Space-group type**: R-3m, No. 166

Unit cell a=3.1092 b=3.1092 c=8.9867 alpha=80.04 beta=80.04 gamma=60.00
Sites, in units of the cell vectors:
Tl1 0.5000 0.5000 0.5000
Ta1 0.7415 0.7415 0.7756
Se1 0.0000 0.0000 0.0000
Ta2 0.2585 0.2585 0.2244

Stability check: which of them is most stable? version B.

Version A
Below is a PBEsol-optimized structure of TcSe3, with properties calculated at the SCAN level.

**Crystal system**: cubic
**Space-group type**: Fm-3m, No. 225

Unit cell a=4.5436 b=4.5436 c=4.5436 alpha=60.00 beta=60.00 gamma=60.00
Sites, in units of the cell vectors:
Se1 0.2500 0.2500 0.2500
Se2 0.7500 0.7500 0.7500
Se3 0.5000 0.5000 0.5000
Tc1 0.0000 0.0000 0.0000

Version B
Below is a PBEsol-optimized structure of TcSe3, with properties calculated at the SCAN level.

**Crystal system**: tetragonal
**Space-group type**: P4/mmm, No. 123

Unit cell a=3.1561 b=4.5971 c=4.5971 alpha=90.00 beta=90.00 gamma=90.00
Sites, in units of the cell vectors:
Tc1 0.5000 0.0000 0.0000
Se1 0.0000 0.5000 0.0000
Se2 0.0000 0.0000 0.5000
Se3 0.5000 0.5000 0.5000

Version C
Below is a PBEsol-optimized structure of TcSe3, with properties calculated at the SCAN level.

**Crystal system**: orthorhombic
**Space-group type**: Cmmm, No. 65

Unit cell a=2.8476 b=2.8476 c=10.1869 alpha=90.00 beta=90.00 gamma=116.08
Sites, in units of the cell vectors:
Se1 0.0000 0.0000 0.3004
Se2 0.0000 0.0000 0.6996
Tc1 0.5000 0.5000 0.5000
Se3 0.5000 0.5000 0.0000

Stability check: which of them is most stable? version C.

Version A
Below is a PBEsol-optimized structure of TlTcSe2, with properties calculated at the SCAN level.

**Crystal system**: tetragonal
**Space-group type**: P4/mmm, No. 123

Unit cell a=3.0578 b=3.0578 c=8.5275 alpha=90.00 beta=90.00 gamma=90.00
Sites, in units of the cell vectors:
Tc1 0.5000 0.5000 0.0000
Tl1 0.5000 0.5000 0.5000
Se1 0.0000 0.0000 0.8227
Se2 0.0000 0.0000 0.1773

Version B
Below is a PBEsol-optimized structure of TlTcSe2, with properties calculated at the SCAN level.

**Crystal system**: trigonal
**Space-group type**: R-3m, No. 166

Unit cell a=3.2027 b=3.2027 c=9.4166 alpha=80.21 beta=80.21 gamma=60.00
Sites, in units of the cell vectors:
Tl1 0.0000 0.0000 0.0000
Se1 0.7712 0.7712 0.6865
Se2 0.2288 0.2288 0.3135
Tc1 0.5000 0.5000 0.5000

Stability check: which of them is most stable? version B.

Version A
Below is a PBEsol-optimized structure of TcWSe2, with properties calculated at the SCAN level.

**Crystal system**: tetragonal
**Space-group type**: I-4m2, No. 119

Unit cell a=3.9955 b=3.9955 c=4.8285 alpha=114.44 beta=114.44 gamma=90.00
Sites, in units of the cell vectors:
Se1 0.0000 0.0000 0.0000
W1 0.2500 0.7500 0.5000
Tc1 0.5000 0.5000 0.0000
Se2 0.7500 0.2500 0.5000

Version B
Below is a PBEsol-optimized structure of TcWSe2, with properties calculated at the SCAN level.

**Crystal system**: orthorhombic
**Space-group type**: Cmmm, No. 65

Unit cell a=3.0381 b=3.0692 c=8.0551 alpha=90.00 beta=90.00 gamma=119.67
Sites, in units of the cell vectors:
Se1 0.0000 0.0000 0.7450
W1 0.5000 0.0000 0.0000
Tc1 0.5000 0.0000 0.5000
Se2 0.0000 0.0000 0.2550

Stability check: which of them is most stable? version A.

Version A
Below is a PBEsol-optimized structure of TcWSe, with properties calculated at the SCAN level.

**Crystal system**: cubic
**Space-group type**: F-43m, No. 216

Unit cell a=4.1977 b=4.1977 c=4.1977 alpha=60.00 beta=60.00 gamma=60.00
Sites, in units of the cell vectors:
Tc1 0.5000 0.5000 0.5000
Se1 0.0000 0.0000 0.0000
W1 0.2500 0.2500 0.2500

Version B
Below is a PBEsol-optimized structure of TcWSe, with properties calculated at the SCAN level.

**Crystal system**: trigonal
**Space-group type**: P3m1, No. 156

Unit cell a=2.8948 b=2.8948 c=6.2807 alpha=90.00 beta=90.00 gamma=120.00
Sites, in units of the cell vectors:
Tc1 0.3333 0.6667 0.6692
Se1 0.0000 0.0000 0.9953
W1 0.6667 0.3333 0.3354

Stability check: which of them is most stable? version B.

Version A
Below is a PBEsol-optimized structure of ZnTcSe, with properties calculated at the SCAN level.

**Crystal system**: cubic
**Space-group type**: F-43m, No. 216

Unit cell a=4.2268 b=4.2268 c=4.2268 alpha=60.00 beta=60.00 gamma=60.00
Each line ends with the local moment (μB).
Sites, in units of the cell vectors:
Zn1 0.2500 0.2500 0.2500  -0.01
Tc1 0.5000 0.5000 0.5000  2.40
Se1 0.0000 0.0000 0.0000  0.00

Version B
Below is a PBEsol-optimized structure of ZnTcSe, with properties calculated at the SCAN level.

**Crystal system**: trigonal
**Space-group type**: P3m1, No. 156

Unit cell a=3.0454 b=3.0454 c=6.0662 alpha=90.00 beta=90.00 gamma=120.00
Sites, in units of the cell vectors:
Tc1 0.6667 0.3333 0.6840
Zn1 0.3333 0.6667 0.3579
Se1 0.0000 0.0000 0.9581

Stability check: which of them is most stable? version B.